P | Entry from the Alexandria database: Mg16Al12In after structural relaxation (GGA-PBE).

The structure in POSCAR format:
```
Mg16Al12In
1.0
-5.279 5.279 5.279
5.279 -5.279 5.279
5.279 5.279 -5.279
Mg Al In
16 12 1
direct
0.000 0.000 0.344
0.000 0.315 0.600
0.000 0.344 0.000
0.000 0.600 0.315
0.285 0.685 0.685
0.315 0.000 0.600
0.315 0.600 0.000
0.344 0.000 0.000
0.400 0.400 0.715
0.400 0.715 0.400
0.600 0.000 0.315
0.600 0.315 0.000
0.656 0.656 0.656
0.685 0.285 0.685
0.685 0.685 0.285
0.715 0.400 0.400
0.000 0.630 0.813
0.000 0.813 0.630
0.184 0.370 0.370
0.187 0.187 0.816
0.187 0.816 0.187
0.370 0.184 0.370
0.370 0.370 0.184
0.630 0.000 0.813
0.630 0.813 0.000
0.813 0.000 0.630
0.813 0.630 0.000
0.816 0.187 0.187
0.000 0.000 0.000
```

## Properties
Spin magnetization ... 0.00 μB/f.u.

---

Q | Entry from the Alexandria database: Mg16Al12In after structural relaxation (GGA-PBE).

The structure in POSCAR format:
```
Mg16Al12In
1.0
5.278 -7.451 0.000
5.278 7.451 0.000
-5.194 0.000 7.463
Mg Al In
16 12 1
direct
0.000 0.000 0.000
0.000 0.402 0.029
0.001 0.001 0.345
0.003 0.656 0.349
0.005 0.687 0.745
0.287 0.600 0.945
0.315 0.315 0.058
0.320 0.714 0.662
0.344 0.344 0.683
0.397 0.681 0.344
0.402 0.000 0.029
0.600 0.287 0.945
0.656 0.003 0.349
0.681 0.397 0.344
0.687 0.005 0.745
0.714 0.320 0.662
0.002 0.188 0.712
0.180 0.362 0.339
0.181 0.812 0.157
0.188 0.002 0.712
0.362 0.180 0.339
0.368 0.999 0.529
0.633 0.633 0.167
0.635 0.823 0.986
0.812 0.181 0.157
0.822 0.822 0.528
0.823 0.635 0.986
0.999 0.368 0.529
0.611 0.611 0.638
```

## Properties
Spin magnetization ... 0.00 μB/f.u.

---

Which structure is the most stable? The one labeled Q.

---

P | Entry from the Alexandria database: Mg3AlIn after structural relaxation (GGA-PBE).

The structure in POSCAR format:
```
Mg3AlIn
1.0
6.167 0.000 0.000
0.000 4.383 0.000
0.000 0.000 15.912
Mg Al In
12 4 4
direct
0.111 0.250 0.144
0.132 0.250 0.548
0.139 0.250 0.754
0.361 0.750 0.254
0.368 0.750 0.048
0.389 0.750 0.644
0.611 0.250 0.356
0.632 0.250 0.952
0.639 0.250 0.746
0.861 0.750 0.246
0.868 0.750 0.452
0.889 0.750 0.856
0.115 0.250 0.954
0.385 0.750 0.454
0.615 0.250 0.546
0.885 0.750 0.046
0.111 0.250 0.351
0.389 0.750 0.851
0.611 0.250 0.149
0.889 0.750 0.649
```

## Properties
Spin magnetization ... 0.00 μB/f.u.

---

Q | Entry from the Alexandria database: Mg3AlIn after structural relaxation (GGA-PBE).

The structure in POSCAR format:
```
Mg3AlIn
1.0
5.737 0.000 0.000
0.000 4.425 0.000
0.000 0.000 9.940
Mg Al In
6 2 2
direct
0.000 0.000 0.000
0.250 0.000 0.286
0.250 0.500 0.795
0.500 0.000 0.000
0.750 0.000 0.714
0.750 0.500 0.205
0.250 0.500 0.096
0.750 0.500 0.904
0.250 0.000 0.584
0.750 0.000 0.416
```

## Properties
Spin magnetization ... 0.00 μB/f.u.

---

R | Entry from the Alexandria database: Mg3AlIn after structural relaxation (GGA-PBE).

The structure in POSCAR format:
```
Mg3AlIn
1.0
5.198 0.000 0.000
0.000 5.198 0.000
0.000 0.000 5.198
Mg Al In
3 1 1
direct
0.000 0.000 0.500
0.000 0.500 0.000
0.500 0.000 0.000
0.000 0.000 0.000
0.500 0.500 0.500
```

## Properties
Spin magnetization ... 0.00 μB/f.u.

---

S | Entry from the Alexandria database: Mg3AlIn after structural relaxation (GGA-PBE).

The structure in POSCAR format:
```
Mg3AlIn
1.0
5.306 0.000 0.000
0.000 5.306 0.000
0.000 0.000 5.306
Mg Al In
3 1 1
direct
0.000 0.000 0.500
0.000 0.500 0.000
0.500 0.000 0.000
0.500 0.500 0.500
0.000 0.000 0.000
```

## Properties
Spin magnetization ... 0.00 μB/f.u.

---

Which structure is the most stable? The one labeled P.

---

P | Entry from the Alexandria database: Mg7Al2In2 after structural relaxation (GGA-PBE).

The structure in POSCAR format:
```
Mg7Al2In2
1.0
3.790 -4.164 0.000
3.790 4.164 0.000
-1.996 0.000 7.886
Mg Al In
7 2 2
direct
0.000 0.000 0.000
0.074 0.440 0.782
0.142 0.142 0.405
0.440 0.074 0.782
0.560 0.926 0.218
0.858 0.858 0.595
0.926 0.560 0.218
0.333 0.667 0.500
0.667 0.333 0.500
0.395 0.395 0.147
0.605 0.605 0.853
```

## Properties
Spin magnetization ... 0.00 μB/f.u.

---

Q | Entry from the Alexandria database: Mg7Al2In2 after structural relaxation (GGA-PBE).

The structure in POSCAR format:
```
Mg7Al2In2
1.0
3.184 -5.184 0.000
3.184 5.184 0.000
0.000 0.000 7.981
Mg Al In
7 2 2
direct
0.000 0.000 0.000
0.000 0.500 0.302
0.000 0.500 0.698
0.500 0.000 0.302
0.500 0.000 0.698
0.500 0.500 0.192
0.500 0.500 0.808
0.270 0.730 0.000
0.730 0.270 0.000
0.234 0.234 0.500
0.766 0.766 0.500
```

## Properties
Spin magnetization ... 0.00 μB/f.u.

---

Which structure is the most stable? The one labeled P.

---

P | Entry from the Alexandria database: MgAl2In2 after structural relaxation (GGA-PBE).

The structure in POSCAR format:
```
MgAl2In2
1.0
8.337 0.000 0.000
0.000 8.337 0.000
0.000 0.000 3.304
Mg Al In
2 4 4
direct
0.000 0.000 0.000
0.500 0.500 0.000
0.129 0.371 0.500
0.371 0.871 0.500
0.629 0.129 0.500
0.871 0.629 0.500
0.166 0.666 0.000
0.334 0.166 0.000
0.666 0.834 0.000
0.834 0.334 0.000
```

## Properties
Spin magnetization ... 0.00 μB/f.u.

---

Q | Entry from the Alexandria database: MgAl2In2 after structural relaxation (GGA-PBE).

The structure in POSCAR format:
```
MgAl2In2
1.0
3.949 0.000 0.000
0.000 3.949 0.000
0.000 0.000 15.078
Mg Al In
2 4 4
direct
0.000 0.000 0.000
0.500 0.500 0.500
0.000 0.500 0.250
0.000 0.500 0.750
0.500 0.000 0.250
0.500 0.000 0.750
0.000 0.000 0.396
0.000 0.000 0.604
0.500 0.500 0.104
0.500 0.500 0.896
```

## Properties
Spin magnetization ... 0.00 μB/f.u.

---

R | Entry from the Alexandria database: MgAl2In2 after structural relaxation (GGA-PBE).

The structure in POSCAR format:
```
MgAl2In2
1.0
8.205 0.000 0.000
0.000 8.205 0.000
0.000 0.000 3.373
Mg Al In
2 4 4
direct
0.000 0.000 0.000
0.500 0.500 0.000
0.119 0.381 0.000
0.381 0.881 0.000
0.619 0.119 0.000
0.881 0.619 0.000
0.179 0.679 0.500
0.321 0.179 0.500
0.679 0.821 0.500
0.821 0.321 0.500
```

## Properties
Spin magnetization ... 0.00 μB/f.u.

---

Which structure is the most stable? The one labeled R.

---

P | Entry from the Alexandria database: Mg6Al2In after structural relaxation (GGA-PBE).

The structure in POSCAR format:
```
Mg6Al2In
1.0
7.054 0.000 0.000
0.000 7.054 0.000
0.000 0.000 10.118
Mg Al In
12 4 2
direct
0.224 0.224 0.000
0.228 0.228 0.325
0.228 0.228 0.675
0.272 0.728 0.175
0.272 0.728 0.825
0.276 0.724 0.500
0.724 0.276 0.500
0.728 0.272 0.175
0.728 0.272 0.825
0.772 0.772 0.325
0.772 0.772 0.675
0.776 0.776 0.000
0.000 0.000 0.159
0.000 0.000 0.841
0.500 0.500 0.341
0.500 0.500 0.659
0.000 0.000 0.500
0.500 0.500 0.000
```

## Properties
Spin magnetization ... 0.00 μB/f.u.

---

Q | Entry from the Alexandria database: Mg6Al2In after structural relaxation (GGA-PBE).

The structure in POSCAR format:
```
Mg6Al2In
1.0
7.994 -5.496 0.000
7.994 5.496 0.000
0.000 0.000 4.655
Mg Al In
12 4 2
direct
0.011 0.178 0.250
0.016 0.380 0.750
0.178 0.011 0.750
0.276 0.531 0.750
0.380 0.016 0.250
0.469 0.724 0.750
0.531 0.276 0.250
0.620 0.984 0.750
0.724 0.469 0.250
0.822 0.989 0.250
0.984 0.620 0.250
0.989 0.822 0.750
0.218 0.344 0.250
0.344 0.218 0.750
0.656 0.782 0.250
0.782 0.656 0.750
0.212 0.788 0.250
0.788 0.212 0.750
```

## Properties
Spin magnetization ... 0.00 μB/f.u.

---

Which structure is the most stable? The one labeled Q.

---

P | Entry from the Alexandria database: Mg3AlIn2 after structural relaxation (GGA-PBE).

The structure in POSCAR format:
```
Mg3AlIn2
1.0
4.463 0.000 0.000
0.000 13.600 0.000
0.000 0.000 4.347
Mg Al In
6 2 4
direct
0.000 0.000 0.000
0.000 0.337 0.000
0.000 0.663 0.000
0.500 0.163 0.000
0.500 0.500 0.000
0.500 0.837 0.000
0.000 0.500 0.500
0.500 0.000 0.500
0.000 0.161 0.500
0.000 0.839 0.500
0.500 0.339 0.500
0.500 0.661 0.500
```

## Properties
Spin magnetization ... 0.00 μB/f.u.

---

Q | Entry from the Alexandria database: Mg3AlIn2 after structural relaxation (GGA-PBE).

The structure in POSCAR format:
```
Mg3AlIn2
1.0
-2.993 7.481 3.131
2.993 -7.481 3.131
2.993 7.481 -3.131
Mg Al In
6 2 4
direct
0.170 0.239 0.409
0.250 0.250 0.000
0.330 0.739 0.068
0.670 0.261 0.932
0.750 0.750 0.000
0.830 0.761 0.591
0.250 0.750 0.500
0.750 0.250 0.500
0.134 0.733 0.868
0.366 0.233 0.599
0.634 0.767 0.401
0.866 0.267 0.132
```

## Properties
Spin magnetization ... 0.00 μB/f.u.

---

Which structure is the most stable? The one labeled P.

---

P | Entry from the Alexandria database: NdMgAlIn after structural relaxation (GGA-PBE).

The structure in POSCAR format:
```
NdMgAlIn
1.0
4.527 0.000 0.000
0.000 4.547 0.000
0.000 0.000 4.672
Nd Mg Al In
1 1 1 1
direct
0.000 0.000 0.000
0.000 0.500 0.500
0.500 0.500 0.000
0.500 0.000 0.500
```

## Properties
Spin magnetization ... 0.00 μB/f.u.

---

Q | Entry from the Alexandria database: NdMgAlIn after structural relaxation (GGA-PBE).

The structure in POSCAR format:
```
NdMgAlIn
1.0
7.304 0.000 0.000
0.000 7.304 0.000
0.000 0.000 7.304
Nd Mg Al In
4 4 4 4
direct
0.000 0.000 0.000
0.000 0.500 0.500
0.500 0.000 0.500
0.500 0.500 0.000
0.000 0.000 0.500
0.000 0.500 0.000
0.500 0.000 0.000
0.500 0.500 0.500
0.250 0.250 0.750
0.250 0.750 0.250
0.750 0.250 0.250
0.750 0.750 0.750
0.250 0.250 0.250
0.250 0.750 0.750
0.750 0.250 0.750
0.750 0.750 0.250
```

## Properties
Spin magnetization ... 0.00 μB/f.u.

---

Which structure is the most stable? The one labeled P.

---

P | Entry from the Alexandria database: Mn3AlIn after structural relaxation (GGA-PBE).

The structure in POSCAR format:
```
Mn3AlIn
1.0
4.962 0.000 0.000
0.000 4.962 0.000
0.000 0.000 4.962
Mn Al In
3 1 1
direct
0.000 0.000 0.500
0.000 0.500 0.000
0.500 0.000 0.000
0.500 0.500 0.500
0.000 0.000 0.000
```

## Properties
Spin magnetization ... 11.49 μB/f.u.

---

Q | Entry from the Alexandria database: Mn3AlIn after structural relaxation (GGA-PBE).

The structure in POSCAR format:
```
Mn3AlIn
1.0
4.550 0.000 0.000
0.000 4.550 0.000
0.000 0.000 4.550
Mn Al In
3 1 1
direct
0.000 0.000 0.500
0.000 0.500 0.000
0.500 0.000 0.000
0.000 0.000 0.000
0.500 0.500 0.500
```

## Properties
Spin magnetization ... 9.78 μB/f.u.

---

Which structure is the most stable? The one labeled Q.